VASP calculation (PBE) on crystalline Zn2AgAu at its relaxed geometry.

POSCAR file:
```
Zn2AgAu
1.0
3.1355 0.0000 0.0000
0.0000 3.1355 0.0000
0.0000 0.0000 6.5748
Ag Au Zn
1 1 2
Cartesian
0.0000 0.0000 3.2874
0.0000 0.0000 0.0000
1.5677 1.5677 1.6227
1.5677 1.5677 4.9521
```

Summary:
- formation energy from the elements (eV/atom) = -0.14
- polymorph energy (0 for the lowest one) (meV per atom) = 19.2